VASP calculation (PBE+U) on SbWO2F after structural relaxation.

Cell and atoms, written as POSCAR:
```
SbWO2F
1.0
4.129 0.000 0.000
0.000 4.129 0.000
0.000 0.000 4.323
Sb W O F
1 1 2 1
direct
0.000 0.000 0.000
0.500 0.500 0.500
0.000 0.500 0.500
0.500 0.000 0.500
0.500 0.500 0.000
```

Calculated values
SG: P4/mmm (123)
Crystal system: tetragonal
VASP energy in eV per atom: -5.7338